(1)
Crystalline RuSN2 at its relaxed geometry. Source: Alexandria, functional PBE.

Cell lengths 5.4454, 5.4454, 5.4454 Å; angles 123.18, 123.18, 84.58 degrees
Last column: nearest neighbours and their distance in Å.
Fractional positions:
Ru1 0.0000 0.0000 0.0000  4 N 1.90
Ru2 0.7500 0.2500 0.5000  4 N 1.90
S1 0.2500 0.7500 0.5000  4 N 2.31
S2 0.5000 0.5000 0.0000  4 N 2.31
N1 0.0616 0.6250 0.9366  2 Ru 1.90
N2 0.3750 0.3116 0.4366  2 Ru 1.90
N3 0.6884 0.1250 0.0634  2 Ru 1.90
N4 0.8750 0.9384 0.5634  2 Ru 1.90

Results
Crystal system: tetragonal
Theoretical density, kg/m³: 4948
DFT total energy, eV per atom: -6.39



(2)
Crystalline CsIn3Re at its relaxed geometry. Source: Alexandria, functional PBE.

Cell lengths 6.3181, 6.3181, 6.3181 Å; angles 90.00, 90.00, 90.00 degrees
Last column: nearest neighbours and their distance in Å.
Fractional positions:
Cs1 0.0000 0.0000 0.0000  6 In 3.16
In1 0.0000 0.0000 0.5000  2 Cs 3.16
In2 0.0000 0.5000 0.0000  2 Cs 3.16
In3 0.5000 0.0000 0.0000  2 Cs 3.16
Re1 0.5000 0.5000 0.5000  12 In 4.47

Results
Crystal system: cubic
Theoretical density, kg/m³: 4369
DFT total energy, eV per atom: -2.01



(3)
Crystalline ZnCuNi2C at its relaxed geometry. Source: Alexandria, functional PBE.

Cell lengths 3.7742, 3.7742, 3.8622 Å; angles 90.00, 90.00, 90.00 degrees
Last column: nearest neighbours and their distance in Å.
Fractional positions:
Zn1 0.0000 0.0000 0.0000  4 Cu 2.67, 8 Ni 2.70
Cu1 0.5000 0.5000 0.0000  2 C 1.93
Ni1 0.0000 0.5000 0.5000  2 C 1.89
Ni2 0.5000 0.0000 0.5000  2 C 1.89
C1 0.5000 0.5000 0.5000  4 Ni 1.89, 2 Cu 1.93

Results
Crystal system: tetragonal
Theoretical density, kg/m³: 7798
DFT total energy, eV per atom: -5.16



(4)
Crystalline CrNiAs at its relaxed geometry. Source: Alexandria, functional PBE.

Cell lengths 3.9330, 3.9330, 3.1067 Å; angles 90.00, 90.00, 120.00 degrees
Last column: nearest neighbours and their distance in Å.
Fractional positions:
Cr1 0.0000 0.0000 0.0000  6 As 2.75, 6 Ni 2.75
Ni1 0.6667 0.3333 0.5000  3 As 2.27
As1 0.3333 0.6667 0.5000  3 Ni 2.27

Results
Crystal system: hexagonal
Theoretical density, kg/m³: 7406
DFT total energy, eV per atom: -6.75



(5)
Crystalline CeCdFe at its relaxed geometry. Source: Alexandria, functional PBE.

Cell lengths 4.2964, 5.0473, 6.3633 Å; angles 79.17, 73.22, 76.02 degrees
Last column: nearest neighbours and their distance in Å.
Fractional positions:
Ce1 0.1110 0.2142 0.1673  1 Fe 2.10
Ce2 0.8890 0.7858 0.8327  1 Fe 2.10
Cd1 0.3522 0.2612 0.5950  3 Fe 2.76-2.93, 2 Cd 2.90-2.95
Cd2 0.6478 0.7388 0.4050  3 Fe 2.76-2.93, 2 Cd 2.90-2.95
Fe1 0.2903 0.5672 0.1651  1 Ce 2.10
Fe2 0.7097 0.4328 0.8349  1 Ce 2.10

Results
Crystal system: triclinic
Theoretical density, kg/m³: 8054
DFT total energy, eV per atom: -5.22



(6)
Crystalline ScCdCu2 at its relaxed geometry. Source: Alexandria, functional PBE.

Cell lengths 8.8933, 8.8933, 8.8933 Å; angles 19.79, 19.79, 19.79 degrees
Last column: nearest neighbours and their distance in Å.
Fractional positions:
Sc1 0.0000 0.0000 0.0000  3 Cu 2.75, 6 Sc 3.06
Cd1 0.2325 0.2325 0.2325  3 Cu 2.79, 6 Cd 3.06
Cu1 0.4831 0.4831 0.4831  3 Cu 2.52, 3 Cd 2.79
Cu2 0.7475 0.7475 0.7475  3 Cu 2.52, 3 Sc 2.75

Results
Crystal system: trigonal
Theoretical density, kg/m³: 6695
DFT total energy, eV per atom: -3.74



(7)
Crystalline Ir7Os4Rh at its relaxed geometry. Source: Alexandria, functional PBE.

Cell lengths 5.8242, 5.8242, 9.4093 Å; angles 119.74, 119.74, 46.35 degrees
Last column: nearest neighbours and their distance in Å.
Fractional positions:
Ir1 0.0000 0.0000 0.0000  2 Rh 2.29
Ir2 0.1411 0.1411 0.5569  5 Os 2.56-2.76, 4 Ir 2.61-2.84
Ir3 0.2835 0.2835 0.0964  4 Os 2.55-2.70, 4 Ir 2.66-2.77
Ir4 0.4223 0.4223 0.6486  5 Os 2.64-2.83, 4 Ir 2.65-2.84, 1 Rh 2.94
Ir5 0.5777 0.5777 0.3514  5 Os 2.64-2.83, 4 Ir 2.65-2.84, 1 Rh 2.94
Ir6 0.7165 0.7165 0.9036  4 Os 2.55-2.70, 4 Ir 2.66-2.77
Ir7 0.8589 0.8589 0.4431  5 Os 2.56-2.76, 4 Ir 2.61-2.84
Os1 0.0636 0.0636 0.7708  8 Ir 2.56-2.70, 1 Os 2.63
Os2 0.2146 0.2146 0.3172  8 Ir 2.55-2.83, 1 Os 2.63
Os3 0.7854 0.7854 0.6828  8 Ir 2.55-2.83, 1 Os 2.63
Os4 0.9364 0.9364 0.2292  8 Ir 2.56-2.70, 1 Os 2.63
Rh1 0.5000 0.5000 0.0000  2 Ir 2.29

Results
Crystal system: monoclinic
Theoretical density, kg/m³: 18868
DFT total energy, eV per atom: -8.89